1.
A relaxed BaYCo2 crystal. Source: Alexandria, functional PBE.

Cell: 9.745 3.982 7.323 Å, 90.00 125.49 90.00°
Space group C2/m (No. 12)
One atom of each set of equivalent atoms:
Ba 0.000 0.000 0.000 (multiplicity 2)
Y 0.000 0.500 0.500 (multiplicity 2)
Co 0.250 0.000 0.560 (multiplicity 4)

**Energy relative to the elements**: 0.84 eV/f.u.
**Fermi-level density of states**: 3.555 states/eV/f.u.
**M_tot**: 1.1 μB per formula unit
**Distance to the lowest polymorph of the same formula**: 0.1596 eV/atom

2.
A relaxed BaY3Co crystal. Source: Alexandria, functional PBE.

Cell: 5.568 5.568 5.568 Å, 90.00 90.00 90.00°
Space group Pm-3m (No. 221)
One atom of each set of equivalent atoms:
Ba 0.000 0.000 0.000 (multiplicity 1)
Y 0.000 0.000 0.500 (multiplicity 3)
Co 0.500 0.500 0.500 (multiplicity 1)

**Energy relative to the elements**: 8.64 eV/f.u.
**Fermi-level density of states**: 13.937 states/eV/f.u.
**M_tot**: 0.0 μB per formula unit
**Distance to the lowest polymorph of the same formula**: 1.7309 eV/atom

The lowest M_tot belongs to which entry? BaY3Co

The highest M_tot belongs to which entry? BaYCo2

What is the energy relative to the elements in the second record? 8.64 eV/f.u.